The following is a DFT calculation (GGA-PBE) of a geometry-optimized Dy2TmB2Rh5 structure.

The structure belongs to space group P4/mbm (No. 127); the cell edges are 9.7992, 9.7992 and 3.2446 Å and the angles 90.00°, 90.00° and 90.00°. The distinct sites, in fractional coordinates, are Dy at (0.1743, 0.3257, 0.0000), Tm at (0.0000, 0.0000, 0.0000), B at (0.1214, 0.6214, 0.0000), Rh at (0.0000, 0.5000, 0.5000) and Rh at (0.0715, 0.7704, 0.5000).

As for the density: 11.0 Mg/m³. The total energy comes out at -7.20 eV per atom. Its formation energy is -0.8235 eV/atom.